(1)
This record from Alexandria describes a geometry-optimized SrMg2ZnP structure. The functional is PBE. Values from VASP.

Properties
The calculation puts the formation energy at 0.01 eV/atom. The value obtained for the total energy is -2.30 eV/atom. As for the space group: P4/mmm, No. 123.

Geometry as Quantum ESPRESSO input:
```
&SYSTEM
  ibrav = 0, nat = 5, ntyp = 4
/
ATOMIC_SPECIES
Sr 87.62 Sr.upf
Mg 24.30 Mg.upf
Zn 65.41 Zn.upf
P 30.97 P.upf
ATOMIC_POSITIONS crystal
Sr 0.0000 0.0000 0.0000
Mg 0.0000 0.5000 0.5000
Mg 0.5000 0.0000 0.5000
Zn 0.5000 0.5000 0.0000
P 0.5000 0.5000 0.5000
CELL_PARAMETERS angstrom
5.0921 0.0000 0.0000
0.0000 5.0921 0.0000
0.0000 0.0000 5.1159
```

(2)
This record from Alexandria describes a geometry-optimized Mg4HN2 structure. The functional is PBE. Values from VASP.

Properties
The value obtained for the total energy is -4.24 eV/atom. As for the space group: P2, No. 3.

Geometry as Quantum ESPRESSO input:
```
&SYSTEM
  ibrav = 0, nat = 7, ntyp = 3
/
ATOMIC_SPECIES
Mg 24.30 Mg.upf
H 1.01 H.upf
N 14.01 N.upf
ATOMIC_POSITIONS crystal
Mg 0.2029 0.0000 0.2412
Mg 0.2041 0.5005 0.7447
Mg 0.7959 0.5005 0.2553
Mg 0.7971 0.0000 0.7588
H 0.5000 0.9969 0.0000
N 0.0000 0.0005 0.5000
N 0.0000 0.4999 0.0000
CELL_PARAMETERS angstrom
5.5185 0.0000 0.0000
0.0000 3.1795 0.0000
-2.1525 0.0000 5.2207
```

(3)
This record from Alexandria describes a geometry-optimized ZrTl2Rh2 structure. The functional is PBE. Values from VASP.

Properties
The calculation puts the formation energy at -0.13 eV/atom. The value obtained for the total energy is -5.72 eV/atom. As for the space group: P4/mbm, No. 127.

Geometry as Quantum ESPRESSO input:
```
&SYSTEM
  ibrav = 0, nat = 10, ntyp = 3
/
ATOMIC_SPECIES
Zr 91.22 Zr.upf
Tl 204.38 Tl.upf
Rh 102.91 Rh.upf
ATOMIC_POSITIONS crystal
Zr 0.0000 0.0000 0.0000
Zr 0.5000 0.5000 0.0000
Tl 0.1663 0.3337 0.5000
Tl 0.3337 0.8337 0.5000
Tl 0.6663 0.1663 0.5000
Tl 0.8337 0.6663 0.5000
Rh 0.1388 0.6388 0.0000
Rh 0.3612 0.1388 0.0000
Rh 0.6388 0.8612 0.0000
Rh 0.8612 0.3612 0.0000
CELL_PARAMETERS angstrom
6.9837 0.0000 0.0000
0.0000 6.9837 0.0000
0.0000 0.0000 4.0828
```

(4)
This record from Alexandria describes a geometry-optimized FeReRh structure. The functional is PBE. Values from VASP.

Properties
The calculation puts the formation energy at 0.02 eV/atom. The value obtained for the total energy is -9.40 eV/atom. As for the space group: I4mm, No. 107.

Geometry as Quantum ESPRESSO input:
```
&SYSTEM
  ibrav = 0, nat = 3, ntyp = 3
/
ATOMIC_SPECIES
Fe 55.84 Fe.upf
Re 186.21 Re.upf
Rh 102.91 Rh.upf
ATOMIC_POSITIONS crystal
Fe 0.0000 0.0000 0.0000
Re 0.3410 0.3410 0.0000
Rh 0.6659 0.6659 0.0000
CELL_PARAMETERS angstrom
-1.3454 1.3454 5.5769
1.3454 -1.3454 5.5769
1.3454 1.3454 -5.5769
```

(5)
This record from Alexandria describes a geometry-optimized Pr7Tl2In structure. The functional is PBE. Values from VASP.

Properties
The calculation puts the formation energy at 0.19 eV/atom. The value obtained for the total energy is -3.91 eV/atom. As for the space group: Cmmm, No. 65.

Geometry as Quantum ESPRESSO input:
```
&SYSTEM
  ibrav = 0, nat = 10, ntyp = 3
/
ATOMIC_SPECIES
Pr 140.91 Pr.upf
Tl 204.38 Tl.upf
In 114.82 In.upf
ATOMIC_POSITIONS crystal
Pr 0.0000 0.0000 0.0000
Pr 0.2048 0.4288 0.0000
Pr 0.2827 0.7173 0.5000
Pr 0.4288 0.2048 0.0000
Pr 0.5712 0.7952 0.0000
Pr 0.7173 0.2827 0.5000
Pr 0.7952 0.5712 0.0000
Tl 0.1941 0.8059 0.0000
Tl 0.8059 0.1941 0.0000
In 0.5000 0.5000 0.5000
CELL_PARAMETERS angstrom
4.6931 -8.0162 0.0000
4.6931 8.0162 0.0000
0.0000 0.0000 5.2804
```

(6)
This record from Alexandria describes a geometry-optimized CrTc2MoC structure. The functional is PBE. Values from VASP.

Properties
The calculation puts the formation energy at 0.09 eV/atom. The value obtained for the total energy is -9.99 eV/atom. As for the space group: P4/mmm, No. 123.

Geometry as Quantum ESPRESSO input:
```
&SYSTEM
  ibrav = 0, nat = 5, ntyp = 4
/
ATOMIC_SPECIES
Cr 52.00 Cr.upf
Tc 98.00 Tc.upf
Mo 95.94 Mo.upf
C 12.01 C.upf
ATOMIC_POSITIONS crystal
Cr 0.0000 0.0000 0.0000
Tc 0.0000 0.5000 0.5000
Tc 0.5000 0.0000 0.5000
Mo 0.5000 0.5000 0.0000
C 0.0000 0.0000 0.5000
CELL_PARAMETERS angstrom
4.0542 0.0000 0.0000
0.0000 4.0542 0.0000
0.0000 0.0000 3.9057
```

(7)
This record from Alexandria describes a geometry-optimized Pm2HoBi2N2 structure. The functional is PBE. Values from VASP.

Properties
The value obtained for the total energy is -6.39 eV/atom. For the raw formation energy, the calculation gives -0.887 eV/atom. As for the space group: I4/mmm, No. 139.

Geometry as Quantum ESPRESSO input:
```
&SYSTEM
  ibrav = 0, nat = 7, ntyp = 4
/
ATOMIC_SPECIES
Pm 145.00 Pm.upf
Ho 164.93 Ho.upf
Bi 208.98 Bi.upf
N 14.01 N.upf
ATOMIC_POSITIONS crystal
Pm 0.0922 0.0922 0.0000
Pm 0.9078 0.9078 0.0000
Ho 0.5000 0.5000 0.0000
Bi 0.2870 0.2870 0.0000
Bi 0.7130 0.7130 0.0000
N 0.0000 0.5000 0.5000
N 0.5000 0.0000 0.5000
CELL_PARAMETERS angstrom
-2.2551 2.2551 8.0758
2.2551 -2.2551 8.0758
2.2551 2.2551 -8.0758
```

(8)
This record from Alexandria describes a geometry-optimized LiAcIn4Au2 structure. The functional is PBE. Values from VASP.

Properties
The calculation puts the formation energy at -0.38 eV/atom. The value obtained for the total energy is -3.32 eV/atom. As for the space group: R-3m, No. 166.

Geometry as Quantum ESPRESSO input:
```
&SYSTEM
  ibrav = 0, nat = 8, ntyp = 4
/
ATOMIC_SPECIES
Li 6.94 Li.upf
Ac 227.00 Ac.upf
In 114.82 In.upf
Au 196.97 Au.upf
ATOMIC_POSITIONS crystal
Li 0.0000 0.0000 0.0000
Ac 0.5000 0.5000 0.5000
In 0.1000 0.1000 0.1000
In 0.3710 0.3710 0.3710
In 0.6290 0.6290 0.6290
In 0.9000 0.9000 0.9000
Au 0.2686 0.2686 0.2686
Au 0.7314 0.7314 0.7314
CELL_PARAMETERS angstrom
2.3768 1.3722 9.7697
-2.3768 1.3722 9.7697
0.0000 -2.7444 9.7697
```

(9)
This record from Alexandria describes a geometry-optimized Tb5Pm3Sc2 structure. The functional is PBE. Values from VASP.

Properties
The calculation puts the formation energy at 0.19 eV/atom. The value obtained for the total energy is -4.82 eV/atom. As for the space group: P-1, No. 2.

Geometry as Quantum ESPRESSO input:
```
&SYSTEM
  ibrav = 0, nat = 20, ntyp = 3
/
ATOMIC_SPECIES
Tb 158.93 Tb.upf
Pm 145.00 Pm.upf
Sc 44.96 Sc.upf
ATOMIC_POSITIONS crystal
Tb 0.0236 0.2737 0.0472
Tb 0.1051 0.3736 0.7218
Tb 0.2191 0.4688 0.4379
Tb 0.2808 0.0307 0.5615
Tb 0.3838 0.1518 0.2785
Tb 0.6162 0.8482 0.7215
Tb 0.7192 0.9693 0.4385
Tb 0.7809 0.5312 0.5621
Tb 0.8949 0.6264 0.2782
Tb 0.9764 0.7263 0.9528
Pm 0.0268 0.9788 0.7482
Pm 0.2787 0.7304 0.2519
Pm 0.4842 0.2336 0.9683
Pm 0.5158 0.7664 0.0317
Pm 0.7213 0.2696 0.7481
Pm 0.9732 0.0212 0.2518
Sc 0.2200 0.7641 0.7285
Sc 0.4915 0.5356 0.2707
Sc 0.5085 0.4644 0.7293
Sc 0.7800 0.2359 0.2715
CELL_PARAMETERS angstrom
9.1755 0.0000 0.0000
-2.9309 8.7018 0.0000
-3.1207 -4.3461 7.9879
```

(10)
This record from Alexandria describes a geometry-optimized LiThNpN3 structure. The functional is PBE. Values from VASP.

Properties
The value obtained for the total energy is -8.97 eV/atom. For the raw formation energy, the calculation gives -1.090 eV/atom. As for the space group: P2_1/m, No. 11.

Geometry as Quantum ESPRESSO input:
```
&SYSTEM
  ibrav = 0, nat = 12, ntyp = 4
/
ATOMIC_SPECIES
Li 6.94 Li.upf
Th 232.04 Th.upf
Np 237.00 Np.upf
N 14.01 N.upf
ATOMIC_POSITIONS crystal
Li 0.0870 0.2500 0.0762
Li 0.9130 0.7500 0.9238
Th 0.2778 0.7500 0.8158
Th 0.7222 0.2500 0.1842
Np 0.3194 0.7500 0.3324
Np 0.6806 0.2500 0.6676
N 0.0060 0.7500 0.2024
N 0.3585 0.2500 0.5827
N 0.3685 0.2500 0.1149
N 0.6315 0.7500 0.8851
N 0.6415 0.7500 0.4173
N 0.9940 0.2500 0.7976
CELL_PARAMETERS angstrom
6.9898 0.0000 0.0000
0.0000 3.4517 0.0000
-1.7016 0.0000 6.9947
```

| no. | total moment (μB per atom) |
| --- | --- |
| 1 | 0.00 |
| 2 | 0.00 |
| 3 | 0.00 |
| 4 | 0.54 |
| 5 | 0.00 |
| 6 | 0.06 |
| 7 | 0.00 |
| 8 | 0.00 |
| 9 | 0.00 |
| 10 | 0.45 |